{
  "formula": "Th4TeSe5",
  "functional": "GGA-PBE",
  "state": "relaxed",
  "e_form_raw_ev_per_atom": -1.497,
  "n_ef_per_ev_fu": 4.2,
  "magnetic_moment_mub_per_atom": 0.000,
  "spacegroup": "C2/m, No. 12",
  "final_energy_ev_per_fu": -65.21,
  "lattice_angstrom": [[9.270, -2.140, 0.000], [9.270, 2.140, 0.000], [-2.109, 0.000, 8.309]],
  "species": ["Th", "Th", "Th", "Th", "Te", "Se", "Se", "Se", "Se", "Se"],
  "frac_coords": [[0.001, 0.001, 0.261], [0.329, 0.329, 0.898], [0.671, 0.671, 0.102], [0.999, 0.999, 0.739], [0.500, 0.500, 0.000], [0.165, 0.165, 0.329], [0.167, 0.167, 0.848], [0.500, 0.500, 0.500], [0.833, 0.833, 0.152], [0.835, 0.835, 0.671]]
}